# 1
# Ce5RuPb5

A relaxed Ce5RuPb5 crystal (GGA-PBE, the Alexandria database).

Geometry as CIF:
```
data_Ce5RuPb5
_chemical_formula_sum 'Ce10 Ru2 Pb10'
_cell_length_a 18.325
_cell_length_b 5.682
_cell_length_c 6.605
_cell_angle_alpha 90.00
_cell_angle_beta 110.76
_cell_angle_gamma 90.00
_space_group_name_H-M_alt 'C 1 2/m 1'
_space_group_IT_number 12
_space_group_name_Hall '-C 2y'
loop_
_atom_site_label
_atom_site_type_symbol
_atom_site_fract_x
_atom_site_fract_y
_atom_site_fract_z
Ce1 Ce 0.000 0.000 0.000
Ce2 Ce 0.149 0.500 0.934
Ce3 Ce 0.151 0.500 0.366
Ru1 Ru 0.000 0.500 0.000
Pb1 Pb 0.000 0.500 0.500
Pb2 Pb 0.141 0.000 0.642
Pb3 Pb 0.191 0.000 0.190
```

Values from the calculation:
M_tot: 3.25 μB per formula unit
DFT total energy: -5.497 eV/atom



# 2
# Ce6Ru2Pb3

A relaxed Ce6Ru2Pb3 crystal (GGA-PBE, the Alexandria database).

Geometry as CIF:
```
data_Ce6Ru2Pb3
_chemical_formula_sum 'Ce12 Ru4 Pb6'
_cell_length_a 5.107
_cell_length_b 5.107
_cell_length_c 24.869
_cell_angle_alpha 90.00
_cell_angle_beta 90.00
_cell_angle_gamma 90.00
_space_group_name_H-M_alt 'I 4/m m m'
_space_group_IT_number 139
_space_group_name_Hall '-I 4 2'
loop_
_atom_site_label
_atom_site_type_symbol
_atom_site_fract_x
_atom_site_fract_y
_atom_site_fract_z
Ce1 Ce 0.000 0.000 0.193
Ce2 Ce 0.000 0.500 0.082
Ru1 Ru 0.000 0.000 0.059
Pb1 Pb 0.000 0.000 0.325
Pb2 Pb 0.000 0.000 0.500
```

Values from the calculation:
M_tot: 3.38 μB per formula unit
DFT total energy: -6.257 eV/atom



# 3
# TbCeRuPb

A relaxed TbCeRuPb crystal (GGA-PBE, the Alexandria database).

Geometry as CIF:
```
data_TbCeRuPb
_chemical_formula_sum 'Tb1 Ce1 Ru1 Pb1'
_cell_length_a 3.401
_cell_length_b 3.401
_cell_length_c 8.505
_cell_angle_alpha 90.00
_cell_angle_beta 90.00
_cell_angle_gamma 90.00
_space_group_name_H-M_alt 'P 4 m m'
_space_group_IT_number 99
_space_group_name_Hall 'P 4 -2'
loop_
_atom_site_label
_atom_site_type_symbol
_atom_site_fract_x
_atom_site_fract_y
_atom_site_fract_z
Tb1 Tb 0.000 0.000 0.000
Ce1 Ce 0.000 0.000 0.594
Ru1 Ru 0.500 0.500 0.795
Pb1 Pb 0.500 0.500 0.292
```

Values from the calculation:
M_tot: 0.43 μB per formula unit
DFT total energy: -6.310 eV/atom



# 4
# CeYRuPb

A relaxed CeYRuPb crystal (GGA-PBE, the Alexandria database).

Geometry as CIF:
```
data_CeYRuPb
_chemical_formula_sum 'Ce1 Y1 Ru1 Pb1'
_cell_length_a 3.404
_cell_length_b 3.404
_cell_length_c 8.480
_cell_angle_alpha 90.00
_cell_angle_beta 90.00
_cell_angle_gamma 90.00
_space_group_name_H-M_alt 'P 4 m m'
_space_group_IT_number 99
_space_group_name_Hall 'P 4 -2'
loop_
_atom_site_label
_atom_site_type_symbol
_atom_site_fract_x
_atom_site_fract_y
_atom_site_fract_z
Ce1 Ce 0.000 0.000 0.000
Y1 Y 0.000 0.000 0.407
Ru1 Ru 0.500 0.500 0.201
Pb1 Pb 0.500 0.500 0.697
```

Values from the calculation:
M_tot: 0.46 μB per formula unit
DFT total energy: -6.770 eV/atom



# 5
# Ce2ZnRuPb

A relaxed Ce2ZnRuPb crystal (GGA-PBE, the Alexandria database).

Geometry as CIF:
```
data_Ce2ZnRuPb
_chemical_formula_sum 'Ce4 Zn2 Ru2 Pb2'
_cell_length_a 7.883
_cell_length_b 4.113
_cell_length_c 7.950
_cell_angle_alpha 90.00
_cell_angle_beta 108.09
_cell_angle_gamma 90.00
_space_group_name_H-M_alt 'P 1 21/m 1'
_space_group_IT_number 11
_space_group_name_Hall '-P 2yb'
loop_
_atom_site_label
_atom_site_type_symbol
_atom_site_fract_x
_atom_site_fract_y
_atom_site_fract_z
Ce1 Ce 0.107 0.250 0.336
Ce2 Ce 0.284 0.250 0.987
Zn1 Zn 0.436 0.750 0.345
Ru1 Ru 0.127 0.750 0.106
Pb1 Pb 0.319 0.750 0.670
```

Values from the calculation:
M_tot: 1.00 μB per formula unit
DFT total energy: -5.574 eV/atom



# 6
# Ce2PbS

A relaxed Ce2PbS crystal (GGA-PBE, the Alexandria database).

Geometry as CIF:
```
data_Ce2PbS
_chemical_formula_sum 'Ce6 Pb3 S3'
_cell_length_a 4.0641
_cell_length_b 4.0641
_cell_length_c 23.3659
_cell_angle_alpha 90.00
_cell_angle_beta 90.00
_cell_angle_gamma 120.00
_space_group_name_H-M_alt 'R -3 m'
_space_group_IT_number 166
_space_group_name_Hall '-R 3 2"'
loop_
_atom_site_label
_atom_site_type_symbol
_atom_site_fract_x
_atom_site_fract_y
_atom_site_fract_z
Ce1 Ce 0.0000 0.0000 0.2342
Pb1 Pb 0.0000 0.0000 0.0000
S1 S 0.0000 0.0000 0.5000
```

Values from the calculation:
ΔE_f (raw): -26.218 kcal/mol of atoms
M_tot: 1.71 μB per formula unit
ΔE to the lowest computed polymorph: 0 meV per atom
DFT total energy: -6.063 eV/atom



# 7
# CePb5S7

A relaxed CePb5S7 crystal (GGA-PBE, the Alexandria database).

Geometry as CIF:
```
data_CePb5S7
_chemical_formula_sum 'Ce4 Pb20 S28'
_cell_length_a 4.066
_cell_length_b 14.093
_cell_length_c 24.394
_cell_angle_alpha 90.00
_cell_angle_beta 90.00
_cell_angle_gamma 90.00
_space_group_name_H-M_alt 'C m c 21'
_space_group_IT_number 36
_space_group_name_Hall 'C 2c -2'
loop_
_atom_site_label
_atom_site_type_symbol
_atom_site_fract_x
_atom_site_fract_y
_atom_site_fract_z
Ce1 Ce 0.000 0.209 0.000
Pb1 Pb 0.000 0.017 0.240
Pb2 Pb 0.000 0.253 0.663
Pb3 Pb 0.000 0.289 0.317
Pb4 Pb 0.000 0.442 0.890
Pb5 Pb 0.000 0.480 0.084
S1 S 0.000 0.065 0.843
S2 S 0.000 0.118 0.106
S3 S 0.000 0.183 0.555
S4 S 0.000 0.211 0.425
S5 S 0.000 0.349 0.780
S6 S 0.000 0.379 0.198
S7 S 0.000 0.423 0.484
```

Values from the calculation:
ΔE_f (raw): -18.191 kcal/mol of atoms
M_tot: 0.16 μB per formula unit
DFT total energy: -4.894 eV/atom



# 8
# Ce3Pb2S8

A relaxed Ce3Pb2S8 crystal (GGA-PBE, the Alexandria database).

Geometry as CIF:
```
data_Ce3Pb2S8
_chemical_formula_sum 'Ce6 Pb4 S16'
_cell_length_a 14.105
_cell_length_b 8.254
_cell_length_c 7.011
_cell_angle_alpha 90.00
_cell_angle_beta 109.58
_cell_angle_gamma 90.00
_space_group_name_H-M_alt 'C 1 2/m 1'
_space_group_IT_number 12
_space_group_name_Hall '-C 2y'
loop_
_atom_site_label
_atom_site_type_symbol
_atom_site_fract_x
_atom_site_fract_y
_atom_site_fract_z
Ce1 Ce 0.000 0.000 0.000
Ce2 Ce 0.000 0.259 0.500
Pb1 Pb 0.235 0.500 0.160
S1 S 0.106 0.000 0.410
S2 S 0.110 0.500 0.433
S3 S 0.116 0.226 0.900
```

Values from the calculation:
ΔE_f (raw): -30.717 kcal/mol of atoms
M_tot: 0.00 μB per formula unit
DFT total energy: -5.812 eV/atom



# 9
# CePb2S4

A relaxed CePb2S4 crystal (GGA-PBE, the Alexandria database).

Geometry as CIF:
```
data_CePb2S4
_chemical_formula_sum 'Ce2 Pb4 S8'
_cell_length_a 7.307
_cell_length_b 12.745
_cell_length_c 4.171
_cell_angle_alpha 90.00
_cell_angle_beta 90.00
_cell_angle_gamma 90.00
_space_group_name_H-M_alt 'P b a m'
_space_group_IT_number 55
_space_group_name_Hall '-P 2 2ab'
loop_
_atom_site_label
_atom_site_type_symbol
_atom_site_fract_x
_atom_site_fract_y
_atom_site_fract_z
Ce1 Ce 0.000 0.000 0.000
Pb1 Pb 0.112 0.330 0.500
S1 S 0.127 0.799 0.000
S2 S 0.239 0.038 0.500
```

Values from the calculation:
ΔE_f (raw): -24.210 kcal/mol of atoms
M_tot: 0.00 μB per formula unit
ΔE to the lowest computed polymorph: 0 meV per atom
DFT total energy: -5.316 eV/atom



# 10
# CePbS3

A relaxed CePbS3 crystal (GGA-PBE, the Alexandria database).

Geometry as CIF:
```
data_CePbS3
_chemical_formula_sum 'Ce6 Pb6 S18'
_cell_length_a 6.9935
_cell_length_b 6.9935
_cell_length_c 20.5484
_cell_angle_alpha 90.00
_cell_angle_beta 90.00
_cell_angle_gamma 120.00
_space_group_name_H-M_alt 'R 3 2'
_space_group_IT_number 155
_space_group_name_Hall 'R 3 2"'
loop_
_atom_site_label
_atom_site_type_symbol
_atom_site_fract_x
_atom_site_fract_y
_atom_site_fract_z
Ce1 Ce 0.0000 0.0000 0.1574
Pb1 Pb 0.0000 0.0000 0.3505
S1 S 0.0195 0.4004 0.4183
```

Values from the calculation:
ΔE_f (raw): -26.076 kcal/mol of atoms
M_tot: 0.13 μB per formula unit
DFT total energy: -5.536 eV/atom



# 11
# Ce6PbS12

A relaxed Ce6PbS12 crystal (GGA-PBE, the Alexandria database).

Geometry as CIF:
```
data_Ce6PbS12
_chemical_formula_sum 'Ce18 Pb3 S36'
_cell_length_a 12.4280
_cell_length_b 12.4280
_cell_length_c 11.1659
_cell_angle_alpha 90.00
_cell_angle_beta 90.00
_cell_angle_gamma 120.00
_space_group_name_H-M_alt 'R -3'
_space_group_IT_number 148
_space_group_name_Hall '-R 3'
loop_
_atom_site_label
_atom_site_type_symbol
_atom_site_fract_x
_atom_site_fract_y
_atom_site_fract_z
Ce1 Ce 0.0490 0.7857 0.1500
Pb1 Pb 0.0000 0.0000 0.5000
S1 S 0.0367 0.8180 0.8956
S2 S 0.0475 0.8226 0.3933
```

Values from the calculation:
ΔE_f (raw): -39.178 kcal/mol of atoms
M_tot: 2.32 μB per formula unit
DFT total energy: -6.375 eV/atom



# 12
# Ce2PbS

A relaxed Ce2PbS crystal (GGA-PBE, the Alexandria database).

Geometry as CIF:
```
data_Ce2PbS
_chemical_formula_sum 'Ce2 Pb1 S1'
_cell_length_a 3.512
_cell_length_b 3.512
_cell_length_c 8.182
_cell_angle_alpha 90.00
_cell_angle_beta 90.00
_cell_angle_gamma 90.00
_space_group_name_H-M_alt 'P 4/m m m'
_space_group_IT_number 123
_space_group_name_Hall '-P 4 2'
loop_
_atom_site_label
_atom_site_type_symbol
_atom_site_fract_x
_atom_site_fract_y
_atom_site_fract_z
Ce1 Ce 0.000 0.000 0.211
Pb1 Pb 0.500 0.500 0.500
S1 S 0.500 0.500 0.000
```

Values from the calculation:
ΔE_f (raw): -23.588 kcal/mol of atoms
M_tot: 2.64 μB per formula unit
ΔE to the lowest computed polymorph: 114 meV per atom
DFT total energy: -5.949 eV/atom



# 13
# CePbS3

A relaxed CePbS3 crystal (GGA-PBE, the Alexandria database).

Geometry as CIF:
```
data_CePbS3
_chemical_formula_sum 'Ce2 Pb2 S6'
_cell_length_a 6.857
_cell_length_b 4.199
_cell_length_c 11.026
_cell_angle_alpha 90.00
_cell_angle_beta 103.59
_cell_angle_gamma 90.00
_space_group_name_H-M_alt 'P 1 21/m 1'
_space_group_IT_number 11
_space_group_name_Hall '-P 2yb'
loop_
_atom_site_label
_atom_site_type_symbol
_atom_site_fract_x
_atom_site_fract_y
_atom_site_fract_z
Ce1 Ce 0.230 0.250 0.416
Pb1 Pb 0.161 0.250 0.882
S1 S 0.045 0.250 0.620
S2 S 0.100 0.250 0.147
S3 S 0.459 0.750 0.372
```

Values from the calculation:
ΔE_f (raw): -28.591 kcal/mol of atoms
M_tot: 0.00 μB per formula unit
DFT total energy: -5.645 eV/atom



# 14
# CePb6S8

A relaxed CePb6S8 crystal (GGA-PBE, the Alexandria database).

Geometry as CIF:
```
data_CePb6S8
_chemical_formula_sum 'Ce3 Pb18 S24'
_cell_length_a 10.9851
_cell_length_b 10.9851
_cell_length_c 12.3670
_cell_angle_alpha 90.00
_cell_angle_beta 90.00
_cell_angle_gamma 120.00
_space_group_name_H-M_alt 'R -3'
_space_group_IT_number 148
_space_group_name_Hall '-R 3'
loop_
_atom_site_label
_atom_site_type_symbol
_atom_site_fract_x
_atom_site_fract_y
_atom_site_fract_z
Ce1 Ce 0.0000 0.0000 0.0000
Pb1 Pb 0.0123 0.7893 0.6352
S1 S 0.0000 0.0000 0.2279
S2 S 0.0501 0.7744 0.0920
```

Values from the calculation:
ΔE_f (raw): -13.697 kcal/mol of atoms
M_tot: 0.17 μB per formula unit
DFT total energy: -4.674 eV/atom



# 15
# Ce3Pb5S12

A relaxed Ce3Pb5S12 crystal (GGA-PBE, the Alexandria database).

Geometry as CIF:
```
data_Ce3Pb5S12
_chemical_formula_sum 'Ce24 Pb40 S96'
_cell_length_a 16.414
_cell_length_b 16.414
_cell_length_c 16.414
_cell_angle_alpha 90.00
_cell_angle_beta 90.00
_cell_angle_gamma 90.00
_space_group_name_H-M_alt 'I a -3 d'
_space_group_IT_number 230
_space_group_name_Hall '-I 4bd 2c 3'
loop_
_atom_site_label
_atom_site_type_symbol
_atom_site_fract_x
_atom_site_fract_y
_atom_site_fract_z
Ce1 Ce 0.000 0.250 0.125
Pb1 Pb 0.000 0.000 0.000
Pb2 Pb 0.000 0.250 0.375
S1 S 0.013 0.073 0.656
```

Values from the calculation:
ΔE_f (raw): -19.711 kcal/mol of atoms
M_tot: 0.83 μB per formula unit
DFT total energy: -5.148 eV/atom



# 16
# Ce2PbS

A relaxed Ce2PbS crystal (GGA-PBE, the Alexandria database).

Geometry as CIF:
```
data_Ce2PbS
_chemical_formula_sum 'Ce6 Pb3 S3'
_cell_length_a 3.9412
_cell_length_b 3.9412
_cell_length_c 24.8412
_cell_angle_alpha 90.00
_cell_angle_beta 90.00
_cell_angle_gamma 120.00
_space_group_name_H-M_alt 'R 3 m'
_space_group_IT_number 160
_space_group_name_Hall 'R 3 -2"'
loop_
_atom_site_label
_atom_site_type_symbol
_atom_site_fract_x
_atom_site_fract_y
_atom_site_fract_z
Ce1 Ce 0.0000 0.0000 0.0000
Ce2 Ce 0.0000 0.0000 0.2024
Pb1 Pb 0.0000 0.0000 0.4339
S1 S 0.0000 0.0000 0.6017
```

Values from the calculation:
ΔE_f (raw): -25.318 kcal/mol of atoms
M_tot: 1.81 μB per formula unit
ΔE to the lowest computed polymorph: 39 meV per atom
DFT total energy: -6.024 eV/atom



# 17
# CePb2S4

A relaxed CePb2S4 crystal (GGA-PBE, the Alexandria database).

Geometry as CIF:
```
data_CePb2S4
_chemical_formula_sum 'Ce4 Pb8 S16'
_cell_length_a 3.939
_cell_length_b 14.058
_cell_length_c 13.436
_cell_angle_alpha 90.00
_cell_angle_beta 90.00
_cell_angle_gamma 90.00
_space_group_name_H-M_alt 'C m c m'
_space_group_IT_number 63
_space_group_name_Hall '-C 2c 2'
loop_
_atom_site_label
_atom_site_type_symbol
_atom_site_fract_x
_atom_site_fract_y
_atom_site_fract_z
Ce1 Ce 0.000 0.120 0.250
Pb1 Pb 0.000 0.371 0.068
S1 S 0.000 0.000 0.000
S2 S 0.000 0.291 0.629
S3 S 0.000 0.486 0.250
```

Values from the calculation:
ΔE_f (raw): -23.039 kcal/mol of atoms
M_tot: 0.14 μB per formula unit
ΔE to the lowest computed polymorph: 51 meV per atom
DFT total energy: -5.265 eV/atom



# 18
# Tb4CePbS8

A relaxed Tb4CePbS8 crystal (GGA-PBE, the Alexandria database).

Geometry as CIF:
```
data_Tb4CePbS8
_chemical_formula_sum 'Tb12 Ce3 Pb3 S24'
_cell_length_a 8.1635
_cell_length_b 8.1635
_cell_length_c 20.4952
_cell_angle_alpha 90.00
_cell_angle_beta 90.00
_cell_angle_gamma 120.00
_space_group_name_H-M_alt 'R 3 m'
_space_group_IT_number 160
_space_group_name_Hall 'R 3 -2"'
loop_
_atom_site_label
_atom_site_type_symbol
_atom_site_fract_x
_atom_site_fract_y
_atom_site_fract_z
Tb1 Tb 0.0000 0.0000 0.0000
Tb2 Tb 0.0040 0.5020 0.1263
Ce1 Ce 0.0000 0.0000 0.6242
Pb1 Pb 0.0000 0.0000 0.2527
S1 S 0.0000 0.0000 0.3905
S2 S 0.0000 0.0000 0.8684
S3 S 0.0157 0.5079 0.3807
S4 S 0.1818 0.3636 0.2018
```

Values from the calculation:
ΔE_f (raw): -40.294 kcal/mol of atoms
M_tot: 1.45 μB per formula unit
DFT total energy: -6.117 eV/atom